Density functional theory data (PBE) for a geometry-optimized Nd2MgSn structure.

SG: P4/mmm (123)
Magnetization: 0.00 μB per atom
DOS at the Fermi energy: 2.4 states/eV per cell
Total DFT energy (no corrections): -4.24 eV/atom
Calculated volume: 114.3 Å³/cell

Cell: 4.4776 5.0529 5.0529 Å, 90.00 90.00 90.00°
Sites, in units of the cell vectors:
Sn 0.5000 0.0000 0.0000
Nd 0.0000 0.0000 0.5000
Mg 0.5000 0.5000 0.5000
Nd 0.0000 0.5000 0.0000